1.
! Cs4LaU3O12, relaxed, DFT PBE-GGA; values from VASP
&SYSTEM
  ibrav = 0, nat = 20, ntyp = 4
/
ATOMIC_SPECIES
Cs 132.91 Cs.upf
La 138.91 La.upf
U 238.03 U.upf
O 16.00 O.upf
ATOMIC_POSITIONS crystal
Cs 0.0000 0.0000 0.5000
Cs 0.0000 0.5000 0.0000
Cs 0.5000 0.0000 0.0000
Cs 0.5000 0.5000 0.5000
La 0.0000 0.0000 0.0000
U 0.0000 0.5000 0.5000
U 0.5000 0.0000 0.5000
U 0.5000 0.5000 0.0000
O 0.0000 0.2742 0.2742
O 0.0000 0.7258 0.7258
O 0.2500 0.5000 0.7500
O 0.2500 0.7500 0.5000
O 0.2742 0.0000 0.2742
O 0.2742 0.2742 0.0000
O 0.5000 0.2500 0.7500
O 0.5000 0.7500 0.2500
O 0.7258 0.0000 0.7258
O 0.7258 0.7258 0.0000
O 0.7500 0.2500 0.5000
O 0.7500 0.5000 0.2500
CELL_PARAMETERS angstrom
-4.4670 4.4670 4.4670
4.4670 -4.4670 4.4670
4.4670 4.4670 -4.4670
! Density of states at the Fermi level ... 8.42 states/eV/f.u.
! Uncorrected formation energy ... -2.829 eV per atom
! Uncorrected energy ... -7.915 eV per atom


2.
! CaPrSmHg, relaxed, DFT PBE-GGA; values from VASP
&SYSTEM
  ibrav = 0, nat = 4, ntyp = 4
/
ATOMIC_SPECIES
Ca 40.08 Ca.upf
Pr 140.91 Pr.upf
Sm 150.36 Sm.upf
Hg 200.59 Hg.upf
ATOMIC_POSITIONS crystal
Ca 0.0000 0.0000 0.0000
Pr 0.2500 0.2500 0.2500
Sm 0.7500 0.7500 0.7500
Hg 0.5000 0.5000 0.5000
CELL_PARAMETERS angstrom
0.0000 3.9515 3.9515
3.9515 0.0000 3.9515
3.9515 3.9515 0.0000
! Density of states at the Fermi level ... 4.75 states/eV/f.u.
! Excess energy over the best structure of this formula in the dataset ... 0.155 eV per atom
! Formation enthalpy at 0 K ... -0.088 eV/atom
! Uncorrected energy ... -3.038 eV per atom


3.
! Y3Al4Au2, relaxed, DFT PBE-GGA; values from VASP
&SYSTEM
  ibrav = 0, nat = 9, ntyp = 3
/
ATOMIC_SPECIES
Y 88.91 Y.upf
Al 26.98 Al.upf
Au 196.97 Au.upf
ATOMIC_POSITIONS crystal
Y 0.0000 0.0000 0.0000
Y 0.3248 0.3248 0.3455
Y 0.6752 0.6752 0.6545
Al 0.0263 0.0263 0.3619
Al 0.2648 0.2648 0.9265
Al 0.7352 0.7352 0.0735
Al 0.9737 0.9737 0.6381
Au 0.4013 0.4013 0.7304
Au 0.5987 0.5987 0.2696
CELL_PARAMETERS angstrom
5.3598 -2.2732 0.0000
5.3598 2.2732 0.0000
-3.3476 0.0000 7.9174
! Density of states at the Fermi level ... 4.22 states/eV/f.u.
! Formation enthalpy at 0 K ... -0.693 eV/atom
! Uncorrected energy ... -5.239 eV per atom


4.
! PaNiH6Pt, relaxed, DFT PBE-GGA; values from VASP
&SYSTEM
  ibrav = 0, nat = 9, ntyp = 4
/
ATOMIC_SPECIES
Pa 231.04 Pa.upf
Ni 58.69 Ni.upf
H 1.01 H.upf
Pt 195.08 Pt.upf
ATOMIC_POSITIONS crystal
Pa 0.0000 0.0000 0.0000
Ni 0.3333 0.6667 0.5000
H 0.0221 0.5110 0.2168
H 0.0221 0.5110 0.7832
H 0.4890 0.5110 0.2168
H 0.4890 0.5110 0.7832
H 0.4890 0.9779 0.2168
H 0.4890 0.9779 0.7832
Pt 0.6667 0.3333 0.5000
CELL_PARAMETERS angstrom
4.5025 0.0000 0.0000
-2.2512 3.8993 0.0000
0.0000 0.0000 4.2143
! Density of states at the Fermi level ... 5.35 states/eV/f.u.
! Uncorrected energy ... -4.820 eV per atom


5.
! CoRh2W, relaxed, DFT PBE-GGA; values from VASP
&SYSTEM
  ibrav = 0, nat = 4, ntyp = 3
/
ATOMIC_SPECIES
Co 58.93 Co.upf
Rh 102.91 Rh.upf
W 183.84 W.upf
ATOMIC_POSITIONS crystal
Co 0.0000 0.0000 0.0000
Rh 0.5000 0.5000 0.2420
Rh 0.5000 0.5000 0.7580
W 0.0000 0.0000 0.5000
CELL_PARAMETERS angstrom
3.2182 0.0000 0.0000
0.0000 3.2182 0.0000
0.0000 0.0000 5.4549
! Density of states at the Fermi level ... 4.61 states/eV/f.u.
! Excess energy over the best structure of this formula in the dataset ... 0.212 eV per atom
! Formation enthalpy at 0 K ... 0.071 eV/atom
! Uncorrected energy ... -8.619 eV per atom


6.
! YNbRe, relaxed, DFT PBE-GGA; values from VASP
&SYSTEM
  ibrav = 0, nat = 18, ntyp = 3
/
ATOMIC_SPECIES
Y 88.91 Y.upf
Nb 92.91 Nb.upf
Re 186.21 Re.upf
ATOMIC_POSITIONS crystal
Y 0.0389 0.0389 0.0389
Y 0.1805 0.1805 0.1805
Y 0.2679 0.2679 0.2679
Y 0.7321 0.7321 0.7321
Y 0.8195 0.8195 0.8195
Y 0.9611 0.9611 0.9611
Nb 0.2241 0.7229 0.7229
Nb 0.2771 0.2771 0.7759
Nb 0.2771 0.7758 0.2771
Nb 0.7229 0.2241 0.7229
Nb 0.7229 0.7229 0.2242
Nb 0.7758 0.2771 0.2771
Re 0.0000 0.5000 0.5000
Re 0.3857 0.3857 0.3857
Re 0.5000 0.0000 0.5000
Re 0.5000 0.5000 0.0000
Re 0.5000 0.5000 0.5000
Re 0.6143 0.6143 0.6143
CELL_PARAMETERS angstrom
2.8138 1.6245 13.4132
-2.8138 1.6245 13.4132
0.0000 -3.2491 13.4132
! Density of states at the Fermi level ... 4.10 states/eV/f.u.
! Formation enthalpy at 0 K ... -0.019 eV/atom
! Uncorrected energy ... -9.680 eV per atom